! Zr2AlIn, PBEsol geometry, DFT meta-GGA SCAN; values from VASP
! **Energy of formation from the pure elements**: -10.88 kcal/mol of atoms
&SYSTEM
  ibrav = 0, nat = 4, ntyp = 3
/
ATOMIC_SPECIES
Zr 91.22 Zr.upf
In 114.82 In.upf
Al 26.98 Al.upf
CELL_PARAMETERS angstrom
4.3126 0.0000 0.0000
0.0000 4.3126 0.0000
-2.1563 -2.1563 4.2945
ATOMIC_POSITIONS crystal
Zr 0.2500 0.7500 0.5000
Zr 0.7500 0.2500 0.5000
In 0.0000 0.0000 0.0000
Al 0.5000 0.5000 0.0000

***

! ZrAlIn, PBEsol geometry, DFT meta-GGA SCAN; values from VASP
! **Energy of formation from the pure elements**: -7.15 kcal/mol of atoms
&SYSTEM
  ibrav = 0, nat = 3, ntyp = 3
/
ATOMIC_SPECIES
Al 26.98 Al.upf
Zr 91.22 Zr.upf
In 114.82 In.upf
CELL_PARAMETERS angstrom
-1.7229 -2.0594 1.7167
3.8441 -2.3096 1.0873
-1.4531 3.4571 2.6889
ATOMIC_POSITIONS crystal
Al 0.0000 0.0000 0.0000
Zr 0.5000 0.3333 0.6667
In 0.0000 0.6667 0.3333

***

! Zr2AlIn, PBEsol geometry, DFT meta-GGA SCAN; values from VASP
! **Energy of formation from the pure elements**: -9.58 kcal/mol of atoms
&SYSTEM
  ibrav = 0, nat = 4, ntyp = 3
/
ATOMIC_SPECIES
Zr 91.22 Zr.upf
Al 26.98 Al.upf
In 114.82 In.upf
CELL_PARAMETERS angstrom
4.1345 0.0000 0.0000
0.0000 4.1345 0.0000
-2.0672 -2.0672 4.7775
ATOMIC_POSITIONS crystal
Zr 0.7500 0.2500 0.5000
Zr 0.0000 0.0000 0.0000
Al 0.5000 0.5000 0.0000
In 0.2500 0.7500 0.5000

***

! Zr2AlIn, PBEsol geometry, DFT meta-GGA SCAN; values from VASP
! **Energy of formation from the pure elements**: 1.52 kcal/mol of atoms
&SYSTEM
  ibrav = 0, nat = 4, ntyp = 3
/
ATOMIC_SPECIES
Al 26.98 Al.upf
In 114.82 In.upf
Zr 91.22 Zr.upf
CELL_PARAMETERS angstrom
-2.3953 -3.2461 2.6881
-0.4906 -4.5595 -1.5718
2.4141 -3.5906 2.1864
ATOMIC_POSITIONS crystal
Al 0.5000 0.5000 0.5000
In 0.7500 0.7500 0.7500
Zr 0.2500 0.2500 0.2500
Zr 0.0000 0.0000 0.0000

***

! Zr2AlIn, PBEsol geometry, DFT meta-GGA SCAN; values from VASP
! **Energy of formation from the pure elements**: -10.74 kcal/mol of atoms
&SYSTEM
  ibrav = 0, nat = 4, ntyp = 3
/
ATOMIC_SPECIES
Zr 91.22 Zr.upf
Al 26.98 Al.upf
In 114.82 In.upf
CELL_PARAMETERS angstrom
-2.1789 -1.3014 -3.4536
3.7057 -1.1136 -1.9183
-0.3148 -3.9614 1.6914
ATOMIC_POSITIONS crystal
Zr 0.0000 0.0000 0.5000
Zr 0.0000 0.5000 0.0000
Al 0.5000 0.5000 0.5000
In 0.5000 0.0000 0.0000

***

! ZrAlIn, PBEsol geometry, DFT meta-GGA SCAN; values from VASP
! **Energy of formation from the pure elements**: -5.95 kcal/mol of atoms
&SYSTEM
  ibrav = 0, nat = 3, ntyp = 3
/
ATOMIC_SPECIES
Al 26.98 Al.upf
Zr 91.22 Zr.upf
In 114.82 In.upf
CELL_PARAMETERS angstrom
-1.7662 -2.4354 1.1757
1.7874 0.0026 2.6904
-3.6104 4.9798 0.4549
ATOMIC_POSITIONS crystal
Al 0.9975 0.9975 0.9949
Zr 0.3436 0.3436 0.6872
In 0.6589 0.6589 0.3179

***

! ZrAlIn2, PBEsol geometry, DFT meta-GGA SCAN; values from VASP
! **Energy of formation from the pure elements**: -8.17 kcal/mol of atoms
&SYSTEM
  ibrav = 0, nat = 4, ntyp = 3
/
ATOMIC_SPECIES
In 114.82 In.upf
Zr 91.22 Zr.upf
Al 26.98 Al.upf
CELL_PARAMETERS angstrom
4.1308 0.0000 0.0000
0.0000 4.1308 0.0000
-2.0654 -2.0654 4.7467
ATOMIC_POSITIONS crystal
In 0.7500 0.2500 0.5000
In 0.0000 0.0000 0.0000
Zr 0.5000 0.5000 0.0000
Al 0.2500 0.7500 0.5000

***

! ZrAlIn2, PBEsol geometry, DFT meta-GGA SCAN; values from VASP
! **Energy of formation from the pure elements**: -8.46 kcal/mol of atoms
&SYSTEM
  ibrav = 0, nat = 4, ntyp = 3
/
ATOMIC_SPECIES
In 114.82 In.upf
Zr 91.22 Zr.upf
Al 26.98 Al.upf
CELL_PARAMETERS angstrom
-0.0477 4.1067 -0.0883
-2.6162 -0.0984 -3.1656
-2.3369 -1.9815 4.6583
ATOMIC_POSITIONS crystal
In 0.2500 0.7500 0.5000
In 0.7500 0.2500 0.5000
Zr 0.5000 0.5000 0.0000
Al 0.0000 0.0000 0.0000

***

! AlIr5, PBEsol geometry, DFT meta-GGA SCAN; values from VASP
! **Energy of formation from the pure elements**: -7.68 kcal/mol of atoms
&SYSTEM
  ibrav = 0, nat = 6, ntyp = 2
/
ATOMIC_SPECIES
Ir 192.22 Ir.upf
Al 26.98 Al.upf
CELL_PARAMETERS angstrom
-1.6978 3.3610 0.3961
-3.1105 -1.7371 1.4076
0.6076 -0.4064 6.0534
ATOMIC_POSITIONS crystal
Ir 0.0000 0.8301 0.3399
Ir 0.5000 0.3338 0.3325
Ir 0.0000 0.1699 0.6601
Ir 0.5000 0.6662 0.6675
Ir 0.5000 0.0000 0.0000
Al 0.0000 0.5000 0.0000

***

! Al4Ir3, PBEsol geometry, DFT meta-GGA SCAN; values from VASP
! **Energy of formation from the pure elements**: -17.28 kcal/mol of atoms
&SYSTEM
  ibrav = 0, nat = 7, ntyp = 2
/
ATOMIC_SPECIES
Al 26.98 Al.upf
Ir 192.22 Ir.upf
CELL_PARAMETERS angstrom
3.1981 0.0000 0.0000
0.0000 3.1981 0.0000
-1.5990 -1.5990 9.6993
ATOMIC_POSITIONS crystal
Al 0.8533 0.8533 0.7066
Al 0.1467 0.1467 0.2934
Al 0.5685 0.5685 0.1370
Al 0.4315 0.4315 0.8630
Ir 0.2998 0.2998 0.5995
Ir 0.7002 0.7002 0.4005
Ir 0.0000 0.0000 0.0000

***

! Al2Ir, PBEsol geometry, DFT meta-GGA SCAN; values from VASP
! **Energy of formation from the pure elements**: -22.21 kcal/mol of atoms
&SYSTEM
  ibrav = 0, nat = 12, ntyp = 2
/
ATOMIC_SPECIES
Al 26.98 Al.upf
Ir 192.22 Ir.upf
CELL_PARAMETERS angstrom
-2.5511 -2.9197 -0.2732
1.7533 -1.0411 -5.2467
5.5283 -5.0979 2.8590
ATOMIC_POSITIONS crystal
Al 0.2500 0.6526 0.9707
Al 0.7500 0.3474 0.0293
Al 0.2500 0.0621 0.1524
Al 0.2500 0.1526 0.5293
Al 0.7500 0.4379 0.6524
Al 0.7500 0.8474 0.4707
Al 0.7500 0.9379 0.8476
Al 0.2500 0.5621 0.3476
Ir 0.2500 0.2498 0.8365
Ir 0.7500 0.2502 0.3365
Ir 0.2500 0.7498 0.6635
Ir 0.7500 0.7502 0.1635

***

! AlIr, PBEsol geometry, DFT meta-GGA SCAN; values from VASP
! **Energy of formation from the pure elements**: -17.98 kcal/mol of atoms
&SYSTEM
  ibrav = 0, nat = 2, ntyp = 2
/
ATOMIC_SPECIES
Ir 192.22 Ir.upf
Al 26.98 Al.upf
CELL_PARAMETERS angstrom
2.8196 0.0000 0.0000
1.4098 2.4419 0.0000
1.4098 0.8140 4.0492
ATOMIC_POSITIONS crystal
Ir 0.5000 0.5000 0.5000
Al 0.0000 0.0000 0.0000